Entry 1:
## Be2TlSb (PBE)

Data for a geometry-optimized Be2TlSb structure.

## Properties
As for the polymorph energy (0 for the lowest one): 437 meV/atom. For the magnetic moment, the calculation gives 0.000 μB per cell. The density of states at the Fermi level comes out at 1.0 states/eV per cell. Its calculated volume is 76.9 Å³/cell.

Cell lengths 3.8346, 5.3996, 3.7123 Å; angles 90.00, 90.00, 90.00 degrees
Closest atoms and distances in Å follow each position.
Positions (direct):
Sb  0.5000  0.0000  0.5000  4 Be 2.67
Tl  0.0000  0.5000  0.5000  4 Be 2.67
Be  0.0000  0.0000  0.0000  4 Sb 2.67
Be  0.5000  0.5000  0.0000  4 Tl 2.67


Entry 2:
## BeTlSb2 (PBE)

Data for a geometry-optimized BeTlSb2 structure.

## Properties
As for the polymorph energy (0 for the lowest one): 2 meV/atom. For the magnetic moment, the calculation gives 0.000 μB per cell. The density of states at the Fermi level comes out at 2.7 states/eV per cell. Its calculated volume is 99.8 Å³/cell.

Cell lengths 3.8353, 3.8353, 8.1259 Å; angles 76.78, 76.78, 59.92 degrees
Closest atoms and distances in Å follow each position.
Positions (direct):
Sb  0.0285  0.0285  0.9187  3 Be 2.58
Sb  0.4715  0.4715  0.5813  3 Be 2.58
Tl  0.2500  0.2500  0.2500  6 Sb 3.39-3.42
Be  0.7500  0.7500  0.7500  6 Sb 2.58


Entry 3:
## BeTlSb2 (PBE)

Data for a geometry-optimized BeTlSb2 structure.

## Properties
As for the polymorph energy (0 for the lowest one): 435 meV/atom. For the magnetic moment, the calculation gives 0.000 μB per cell. The density of states at the Fermi level comes out at 2.0 states/eV per cell. Its calculated volume is 100.7 Å³/cell.

Cell lengths 5.8145, 5.8145, 3.2551 Å; angles 90.00, 90.00, 113.76 degrees
Closest atoms and distances in Å follow each position.
Positions (direct):
Sb  0.0000  0.0000  0.0000  4 Sb 3.18-3.26, 4 Tl 3.33, 4 Be 3.33
Sb  0.5000  0.5000  0.0000  4 Sb 3.18-3.26, 4 Be 3.33, 4 Tl 3.33
Tl  0.5000  0.0000  0.5000  2 Be 3.18, 2 Tl 3.26, 8 Sb 3.33
Be  0.0000  0.5000  0.5000  2 Tl 3.18, 2 Be 3.26, 8 Sb 3.33


Entry 4:
## BeTlSb2 (PBE)

Data for a geometry-optimized BeTlSb2 structure.

## Properties
As for the polymorph energy (0 for the lowest one): 142 meV/atom. For the magnetic moment, the calculation gives 0.000 μB per cell. The density of states at the Fermi level comes out at 2.0 states/eV per cell. Its calculated volume is 105.6 Å³/cell.

Cell lengths 3.6234, 3.6234, 8.0444 Å; angles 90.00, 90.00, 90.00 degrees
Closest atoms and distances in Å follow each position.
Positions (direct):
Sb  0.0000  0.0000  0.8857  4 Be 2.57
Sb  0.5000  0.5000  0.2146  1 Be 2.43
Tl  0.0000  0.0000  0.4869  5 Sb 3.21-3.37
Be  0.5000  0.5000  0.9128  5 Sb 2.43-2.57


Entry 5:
## BeTl2Sb (PBE)

Data for a geometry-optimized BeTl2Sb structure.

## Properties
As for the polymorph energy (0 for the lowest one): 386 meV/atom. For the magnetic moment, the calculation gives 0.000 μB per cell. The density of states at the Fermi level comes out at 1.5 states/eV per cell. Its calculated volume is 97.2 Å³/cell.

Cell lengths 3.4218, 3.4218, 8.5196 Å; angles 90.00, 90.00, 102.94 degrees
Closest atoms and distances in Å follow each position.
Positions (direct):
Sb  0.5000  0.5000  0.7500  8 Tl 3.32-3.70, 4 Sb 3.42
Tl  0.0000  0.0000  0.0491  2 Be 2.73
Tl  0.0000  0.0000  0.4509  2 Be 2.73
Be  0.5000  0.5000  0.2500  4 Tl 2.73


Entry 6:
## BeTl2Sb (PBE)

Data for a geometry-optimized BeTl2Sb structure.

## Properties
As for the polymorph energy (0 for the lowest one): 390 meV/atom. For the magnetic moment, the calculation gives 0.000 μB per cell. The density of states at the Fermi level comes out at 1.7 states/eV per cell. Its calculated volume is 98.1 Å³/cell.

Cell lengths 8.8494, 8.8494, 8.8494 Å; angles 23.66, 23.66, 23.66 degrees
Closest atoms and distances in Å follow each position.
Positions (direct):
Sb  0.7500  0.7500  0.7500  6 Tl 3.30, 6 Sb 3.63
Tl  0.9845  0.9845  0.9845  3 Be 2.73
Tl  0.5155  0.5155  0.5155  3 Be 2.73
Be  0.2500  0.2500  0.2500  6 Tl 2.73


Entry 7:
## Be2TlSb (PBE)

Data for a geometry-optimized Be2TlSb structure.

## Properties
As for the polymorph energy (0 for the lowest one): 238 meV/atom. For the magnetic moment, the calculation gives 0.000 μB per cell. The density of states at the Fermi level comes out at 1.3 states/eV per cell. Its calculated volume is 79.0 Å³/cell.

Cell lengths 3.8928, 3.8928, 6.4184 Å; angles 72.67, 72.67, 59.83 degrees
Closest atoms and distances in Å follow each position.
Positions (direct):
Sb  0.2500  0.2500  0.2500  6 Be 2.53
Tl  0.7500  0.7500  0.7500  6 Be 2.90-2.92
Be  0.9798  0.9798  0.0577  3 Sb 2.53
Be  0.5202  0.5202  0.4423  3 Sb 2.53


Entry 8:
## BeTlSb (PBE)

Data for a geometry-optimized BeTlSb structure.

## Properties
As for the polymorph energy (0 for the lowest one): 304 meV/atom. For the magnetic moment, the calculation gives 0.000 μB per cell. The density of states at the Fermi level comes out at 1.9 states/eV per cell. Its calculated volume is 78.3 Å³/cell.

Cell lengths 6.4809, 6.4809, 6.4809 Å; angles 147.13, 147.87, 46.62 degrees
Closest atoms and distances in Å follow each position.
Positions (direct):
Sb  0.4101  0.4101  0.0000  4 Be 2.56
Tl  0.6803  0.6803  0.0000  1 Be 2.73
Be  0.9096  0.9096  0.0000  4 Sb 2.56, 1 Tl 2.73


Entry 9:
## Be2TlSb (PBE)

Data for a geometry-optimized Be2TlSb structure.

## Properties
As for the polymorph energy (0 for the lowest one): 519 meV/atom. For the magnetic moment, the calculation gives 0.000 μB per cell. The density of states at the Fermi level comes out at 2.4 states/eV per cell. Its calculated volume is 76.7 Å³/cell.

Cell lengths 4.7685, 4.7685, 4.7685 Å; angles 60.00, 60.00, 60.00 degrees
Closest atoms and distances in Å follow each position.
Positions (direct):
Sb  0.0000  0.0000  0.0000  8 Be 2.92
Tl  0.5000  0.5000  0.5000  8 Be 2.92
Be  0.2500  0.2500  0.2500  4 Tl 2.92, 4 Sb 2.92
Be  0.7500  0.7500  0.7500  4 Tl 2.92, 4 Sb 2.92


Entry 10:
## BeTlSb2 (PBE)

Data for a geometry-optimized BeTlSb2 structure.

## Properties
As for the polymorph energy (0 for the lowest one): 242 meV/atom. For the magnetic moment, the calculation gives 0.000 μB per cell. The density of states at the Fermi level comes out at 2.1 states/eV per cell. Its calculated volume is 97.0 Å³/cell.

Cell lengths 3.2283, 3.2283, 9.6396 Å; angles 90.00, 90.00, 105.11 degrees
Closest atoms and distances in Å follow each position.
Positions (direct):
Sb  0.0000  0.0000  0.9329  2 Be 2.56
Sb  0.5000  0.5000  0.2583  4 Sb 3.23, 2 Tl 3.40
Tl  0.0000  0.0000  0.5457  2 Be 2.87
Be  0.5000  0.5000  0.7631  2 Sb 2.56


Entry 11:
## BeTlSb2 (PBE)

Data for a geometry-optimized BeTlSb2 structure.

## Properties
As for the polymorph energy (0 for the lowest one): 53 meV/atom. For the magnetic moment, the calculation gives 0.000 μB per cell. The density of states at the Fermi level comes out at 1.3 states/eV per cell. Its calculated volume is 114.0 Å³/cell.

Cell lengths 4.3375, 3.3147, 8.5306 Å; angles 68.29, 90.00, 90.00 degrees
Closest atoms and distances in Å follow each position.
Positions (direct):
Sb  0.0000  0.0235  0.8421  2 Be 2.44
Sb  0.5000  0.1608  0.2236  2 Be 2.52-2.53
Tl  0.0000  0.4248  0.4514  5 Sb 3.10-3.31, 2 Tl 3.31
Be  0.5000  0.8910  0.9829  4 Sb 2.44-2.53


Entry 12:
## BeTl2Sb (PBE)

Data for a geometry-optimized BeTl2Sb structure.

## Properties
As for the polymorph energy (0 for the lowest one): 468 meV/atom. For the magnetic moment, the calculation gives 0.000 μB per cell. The density of states at the Fermi level comes out at 1.7 states/eV per cell. Its calculated volume is 105.1 Å³/cell.

Cell lengths 6.1423, 6.1423, 3.2315 Å; angles 89.89, 89.89, 120.49 degrees
Closest atoms and distances in Å follow each position.
Positions (direct):
Sb  0.0000  0.5000  0.5000  2 Be 3.05, 2 Sb 3.23
Tl  0.0000  0.0000  0.0000  4 Tl 3.05-3.23
Tl  0.5000  0.5000  0.0000  4 Tl 3.05-3.23
Be  0.5000  0.0000  0.5000  2 Sb 3.05, 2 Be 3.23